# 1
A relaxed structure of SeBr3, computed with PBE.

a = 8.463 Å, b = 8.463 Å, c = 8.463 Å
α = 122.23°, β = 122.23°, γ = 86.18°
Element x y z (fractional)
Se (0.375, 0.625, 0.750)
Se (0.625, 0.375, 0.250)
Br (0.000, 0.500, 0.500)
Br (0.125, 0.875, 0.250)
Br (0.500, 0.000, 0.000)
Br (0.500, 0.500, 0.000)
Br (0.500, 0.500, 0.500)
Br (0.875, 0.125, 0.750)

Values from the calculation:
raw formation energy: 26.8 kJ per mole of atoms

# 2
A relaxed structure of Ac3Ni5S12, computed with PBE.

a = 12.971 Å, b = 12.971 Å, c = 12.971 Å
α = 109.47°, β = 109.47°, γ = 109.47°
Element x y z (fractional)
Ac (0.125, 0.250, 0.375)
Ac (0.125, 0.375, 0.750)
Ac (0.250, 0.375, 0.125)
Ac (0.250, 0.875, 0.625)
Ac (0.375, 0.125, 0.250)
Ac (0.375, 0.750, 0.125)
Ac (0.625, 0.250, 0.875)
Ac (0.625, 0.875, 0.750)
Ac (0.750, 0.125, 0.375)
Ac (0.750, 0.625, 0.875)
Ac (0.875, 0.625, 0.250)
Ac (0.875, 0.750, 0.625)
Ni (0.000, 0.000, 0.000)
Ni (0.000, 0.000, 0.500)
Ni (0.000, 0.500, 0.000)
Ni (0.000, 0.500, 0.500)
Ni (0.125, 0.750, 0.875)
Ni (0.125, 0.875, 0.250)
Ni (0.250, 0.125, 0.875)
Ni (0.250, 0.625, 0.375)
Ni (0.375, 0.250, 0.625)
Ni (0.375, 0.625, 0.750)
Ni (0.500, 0.000, 0.000)
Ni (0.500, 0.000, 0.500)
Ni (0.500, 0.500, 0.000)
Ni (0.500, 0.500, 0.500)
Ni (0.625, 0.375, 0.250)
Ni (0.625, 0.750, 0.375)
Ni (0.750, 0.375, 0.625)
Ni (0.750, 0.875, 0.125)
Ni (0.875, 0.125, 0.750)
Ni (0.875, 0.250, 0.125)
S (0.013, 0.193, 0.107)
S (0.013, 0.320, 0.905)
S (0.086, 0.693, 0.680)
S (0.086, 0.893, 0.405)
S (0.095, 0.607, 0.414)
S (0.095, 0.987, 0.680)
S (0.107, 0.013, 0.193)
S (0.107, 0.595, 0.914)
S (0.180, 0.193, 0.586)
S (0.180, 0.487, 0.595)
S (0.193, 0.107, 0.013)
S (0.193, 0.586, 0.180)
S (0.307, 0.320, 0.914)
S (0.307, 0.487, 0.393)
S (0.320, 0.905, 0.013)
S (0.320, 0.914, 0.307)
S (0.393, 0.307, 0.487)
S (0.393, 0.586, 0.905)
S (0.405, 0.086, 0.893)
S (0.405, 0.820, 0.513)
S (0.414, 0.095, 0.607)
S (0.414, 0.820, 0.807)
S (0.487, 0.393, 0.307)
S (0.487, 0.595, 0.180)
S (0.513, 0.405, 0.820)
S (0.513, 0.607, 0.693)
S (0.586, 0.180, 0.193)
S (0.586, 0.905, 0.393)
S (0.595, 0.180, 0.487)
S (0.595, 0.914, 0.107)
S (0.607, 0.414, 0.095)
S (0.607, 0.693, 0.513)
S (0.680, 0.086, 0.693)
S (0.680, 0.095, 0.987)
S (0.693, 0.513, 0.607)
S (0.693, 0.680, 0.086)
S (0.807, 0.414, 0.820)
S (0.807, 0.893, 0.987)
S (0.820, 0.513, 0.405)
S (0.820, 0.807, 0.414)
S (0.893, 0.405, 0.086)
S (0.893, 0.987, 0.807)
S (0.905, 0.013, 0.320)
S (0.905, 0.393, 0.586)
S (0.914, 0.107, 0.595)
S (0.914, 0.307, 0.320)
S (0.987, 0.680, 0.095)
S (0.987, 0.807, 0.893)

Values from the calculation:
raw formation energy: -81.1 kJ per mole of atoms

# 3
A relaxed structure of Tb2Ho3S6, computed with PBE.

a = 6.744 Å, b = 6.744 Å, c = 6.737 Å
α = 99.63°, β = 99.63°, γ = 119.80°
Element x y z (fractional)
Tb (0.165, 0.835, 0.000)
Tb (0.835, 0.165, 0.000)
Ho (0.000, 0.000, 0.500)
Ho (0.337, 0.663, 0.500)
Ho (0.663, 0.337, 0.500)
S (0.082, 0.415, 0.746)
S (0.252, 0.252, 0.249)
S (0.415, 0.082, 0.746)
S (0.585, 0.918, 0.254)
S (0.748, 0.748, 0.751)
S (0.918, 0.585, 0.254)

Values from the calculation:
raw formation energy: -200.1 kJ per mole of atoms

# 4
A relaxed structure of PmNd2Rh, computed with PBE.

a = 6.368 Å, b = 6.368 Å, c = 9.961 Å
α = 90.00°, β = 90.00°, γ = 144.27°
Element x y z (fractional)
Pm (0.083, 0.917, 0.750)
Pm (0.917, 0.083, 0.250)
Nd (0.361, 0.639, 0.568)
Nd (0.361, 0.639, 0.932)
Nd (0.639, 0.361, 0.068)
Nd (0.639, 0.361, 0.432)
Rh (0.236, 0.764, 0.250)
Rh (0.764, 0.236, 0.750)

Values from the calculation:
ΔH_f (0 K): -397 meV per atom

Repeat the fourth record exactly.
A relaxed structure of PmNd2Rh, computed with PBE.

a = 6.368 Å, b = 6.368 Å, c = 9.961 Å
α = 90.00°, β = 90.00°, γ = 144.27°
Element x y z (fractional)
Pm (0.083, 0.917, 0.750)
Pm (0.917, 0.083, 0.250)
Nd (0.361, 0.639, 0.568)
Nd (0.361, 0.639, 0.932)
Nd (0.639, 0.361, 0.068)
Nd (0.639, 0.361, 0.432)
Rh (0.236, 0.764, 0.250)
Rh (0.764, 0.236, 0.750)

Values from the calculation:
ΔH_f (0 K): -397 meV per atom

Q: What is the formula in the first record?
A: SeBr3